Below is a relaxed structure of MoHO3, with properties calculated at the PBE with a Hubbard U level.

POSCAR file:
```
MoHO3
1.0
3.902 0.000 0.000
0.000 4.172 0.000
-0.057 0.000 3.931
Mo H O
1 1 3
direct
0.000 0.000 0.000 Mo
0.270 0.500 0.193 H
0.051 0.000 0.545 O
0.059 0.500 0.055 O
0.534 0.000 0.069 O
```

Computed properties:
E_tot	-6.42	eV/atom
total moment	1.00	μB per formula unit
space-group type	Pm, No. 6
mass density	3.76	g/cm3
Fermi-level density of states	0.27	states/eV/f.u.